No. 1
VASP calculation (PBE) on a relaxed Cs2TiBr6F crystal.

a = 7.954 Å, b = 7.954 Å, c = 7.954 Å
α = 123.09°, β = 123.09°, γ = 84.73°
Element x y z (fractional)
Cs (0.250, 0.750, 0.500)
Cs (0.750, 0.250, 0.500)
Ti (0.000, 0.000, 0.000)
Br (0.215, 0.215, 0.000)
Br (0.237, 0.237, 0.473)
Br (0.237, 0.763, 0.000)
Br (0.763, 0.237, 0.000)
Br (0.763, 0.763, 0.527)
Br (0.785, 0.785, 0.000)
F (0.500, 0.500, 0.000)

Summary:
Total magnetic moment, Bohr magnetons per cell: 1.00
Formation energy from raw total energies, eV/atom: -1.3326

No. 2
VASP calculation (PBE) on a relaxed CsPS2O8 crystal.

a = 4.962 Å, b = 4.962 Å, c = 8.974 Å
α = 104.01°, β = 104.01°, γ = 64.60°
Element x y z (fractional)
Cs (0.000, 0.000, 0.000)
P (0.500, 0.500, 0.500)
S (0.206, 0.206, 0.685)
S (0.794, 0.794, 0.315)
O (0.135, 0.674, 0.328)
O (0.281, 0.281, 0.552)
O (0.326, 0.865, 0.672)
O (0.329, 0.329, 0.838)
O (0.671, 0.671, 0.162)
O (0.674, 0.135, 0.328)
O (0.719, 0.719, 0.448)
O (0.865, 0.326, 0.672)

Summary:
Total magnetic moment, Bohr magnetons per cell: 0.00
Formation energy from raw total energies, eV/atom: -1.3019

No. 3
VASP calculation (PBE) on a relaxed La3Y7Ho crystal.

a = 7.150 Å, b = 7.150 Å, c = 8.795 Å
α = 90.00°, β = 90.00°, γ = 120.00°
Element x y z (fractional)
La (0.001, 0.501, 0.000)
La (0.499, 0.501, 0.000)
La (0.499, 0.999, 0.000)
Y (0.168, 0.335, 0.660)
Y (0.168, 0.832, 0.660)
Y (0.334, 0.167, 0.338)
Y (0.665, 0.832, 0.660)
Y (0.667, 0.333, 0.660)
Y (0.833, 0.167, 0.338)
Y (0.833, 0.666, 0.338)
Ho (0.333, 0.667, 0.339)

Summary:
Total magnetic moment, Bohr magnetons per cell: 0.00
Excess energy over the best structure of this formula in the dataset, meV per atom: 54
Calculated formation energy, eV per atom: 0.1738